(1)
DFT (PBE) results for an optimized crystal structure of AcNdZnAu.

Cell: 3.832 3.832 7.537 Å, 90.00 90.00 90.00°
Fractional coordinates of all 4 atoms:
Ac1 0.000 0.000 0.000
Nd1 0.000 0.000 0.500
Zn1 0.500 0.500 0.273
Au1 0.500 0.500 0.729

Computed properties:
As for the total energy: -15.5 eV/f.u. As for the volume: 110.7 Å³/cell. As for the excess energy over the best structure of this formula in the dataset: 0.000 eV per atom. Its density of states at the Fermi level is 3.33 states/eV per cell. The magnetic moment comes out at 0.000 μB/f.u.

(2)
DFT (PBE) results for an optimized crystal structure of AcNdZn2Au5.

Cell: 4.649 4.649 9.287 Å, 90.00 90.00 90.00°
Fractional coordinates of all 9 atoms:
Ac1 0.000 0.000 0.000
Nd1 0.000 0.000 0.500
Zn1 0.500 0.500 0.369
Zn2 0.500 0.500 0.631
Au1 0.000 0.500 0.246
Au2 0.000 0.500 0.754
Au3 0.500 0.000 0.246
Au4 0.500 0.000 0.754
Au5 0.500 0.500 0.000

Computed properties:
As for the total energy: -32.5 eV/f.u. As for the volume: 200.7 Å³/cell. Its density of states at the Fermi level is 2.83 states/eV per cell. The magnetic moment comes out at 0.000 μB/f.u.

(3)
DFT (PBE) results for an optimized crystal structure of AcNdZnAu.

Cell: 5.401 5.401 5.401 Å, 60.00 60.00 60.00°
Fractional coordinates of all 4 atoms:
Ac1 0.000 0.000 0.000
Nd1 0.500 0.500 0.500
Zn1 0.750 0.750 0.750
Au1 0.250 0.250 0.250

Computed properties:
As for the total energy: -15.4 eV/f.u. As for the volume: 111.4 Å³/cell. As for the excess energy over the best structure of this formula in the dataset: 0.031 eV per atom. Its density of states at the Fermi level is 3.20 states/eV per cell. The magnetic moment comes out at 0.001 μB/f.u.

(4)
DFT (PBE) results for an optimized crystal structure of Ac3NiAu.

Cell: 7.358 7.358 11.121 Å, 90.00 90.00 146.44°
Fractional coordinates of all 10 atoms:
Ac1 0.080 0.920 0.750
Ac2 0.365 0.635 0.566
Ac3 0.365 0.635 0.934
Ac4 0.635 0.365 0.066
Ac5 0.635 0.365 0.434
Ac6 0.920 0.080 0.250
Ni1 0.000 0.000 0.000
Ni2 0.000 0.000 0.500
Au1 0.247 0.753 0.250
Au2 0.753 0.247 0.750

Computed properties:
As for the total energy: -23.5 eV/f.u. As for the volume: 332.9 Å³/cell. As for the excess energy over the best structure of this formula in the dataset: 0.000 eV per atom. Its density of states at the Fermi level is 9.80 states/eV per cell. The magnetic moment comes out at 0.000 μB/f.u.

(5)
DFT (PBE) results for an optimized crystal structure of Ac4NiAu3.

Cell: 4.194 4.863 11.699 Å, 90.00 90.00 90.00°
Fractional coordinates of all 8 atoms:
Ac1 0.000 0.000 0.000
Ac2 0.000 0.500 0.259
Ac3 0.500 0.000 0.478
Ac4 0.500 0.500 0.761
Ni1 0.500 0.000 0.209
Au1 0.000 0.000 0.713
Au2 0.000 0.500 0.538
Au3 0.500 0.500 0.046

Computed properties:
As for the total energy: -37.3 eV/f.u. As for the volume: 238.6 Å³/cell. Its density of states at the Fermi level is 6.48 states/eV per cell. The magnetic moment comes out at 0.000 μB/f.u.

(6)
DFT (PBE) results for an optimized crystal structure of Ac4Ni2Au.

Cell: 7.394 7.394 14.769 Å, 90.00 90.00 146.45°
Fractional coordinates of all 14 atoms:
Ac1 0.000 0.000 0.000
Ac2 0.000 0.000 0.500
Ac3 0.268 0.732 0.615
Ac4 0.268 0.732 0.885
Ac5 0.449 0.551 0.250
Ac6 0.551 0.449 0.750
Ac7 0.732 0.268 0.115
Ac8 0.732 0.268 0.385
Ni1 0.369 0.631 0.062
Ni2 0.369 0.631 0.438
Ni3 0.631 0.369 0.562
Ni4 0.631 0.369 0.938
Au1 0.119 0.881 0.250
Au2 0.881 0.119 0.750

Computed properties:
As for the total energy: -33.9 eV/f.u. As for the volume: 446.2 Å³/cell. As for the excess energy over the best structure of this formula in the dataset: 0.000 eV per atom. Its density of states at the Fermi level is 12.73 states/eV per cell. The magnetic moment comes out at 0.000 μB/f.u.

(7)
DFT (PBE) results for an optimized crystal structure of Ac6Ni4Au.

Cell: 7.411 7.411 21.978 Å, 90.00 90.00 146.56°
Fractional coordinates of all 22 atoms:
Ac1 0.000 0.000 0.000
Ac2 0.000 0.000 0.500
Ac3 0.178 0.822 0.750
Ac4 0.270 0.730 0.082
Ac5 0.270 0.730 0.418
Ac6 0.461 0.539 0.658
Ac7 0.461 0.539 0.842
Ac8 0.539 0.461 0.158
Ac9 0.539 0.461 0.342
Ac10 0.730 0.270 0.582
Ac11 0.730 0.270 0.918
Ac12 0.822 0.178 0.250
Ni1 0.096 0.904 0.626
Ni2 0.096 0.904 0.874
Ni3 0.363 0.637 0.542
Ni4 0.363 0.637 0.958
Ni5 0.637 0.363 0.042
Ni6 0.637 0.363 0.458
Ni7 0.904 0.096 0.126
Ni8 0.904 0.096 0.374
Au1 0.152 0.848 0.250
Au2 0.848 0.152 0.750

Computed properties:
As for the total energy: -54.5 eV/f.u. As for the volume: 665.0 Å³/cell. Its density of states at the Fermi level is 13.48 states/eV per cell. The magnetic moment comes out at 0.000 μB/f.u.

(8)
DFT (PBE) results for an optimized crystal structure of Ac6NiAu3.

Cell: 7.612 8.126 13.250 Å, 90.00 121.17 90.00°
Fractional coordinates of all 20 atoms:
Ac1 0.085 0.048 0.246
Ac2 0.085 0.452 0.746
Ac3 0.231 0.685 0.081
Ac4 0.231 0.815 0.581
Ac5 0.377 0.173 0.069
Ac6 0.377 0.327 0.569
Ac7 0.623 0.673 0.431
Ac8 0.623 0.827 0.931
Ac9 0.769 0.185 0.419
Ac10 0.769 0.315 0.919
Ac11 0.915 0.548 0.254
Ac12 0.915 0.952 0.754
Ni1 0.000 0.000 0.000
Ni2 0.000 0.500 0.500
Au1 0.321 0.114 0.766
Au2 0.321 0.386 0.266
Au3 0.500 0.000 0.500
Au4 0.500 0.500 0.000
Au5 0.679 0.614 0.734
Au6 0.679 0.886 0.234

Computed properties:
As for the total energy: -45.3 eV/f.u. As for the volume: 701.3 Å³/cell. Its density of states at the Fermi level is 20.26 states/eV per cell. The magnetic moment comes out at 0.000 μB/f.u.

(9)
DFT (PBE) results for an optimized crystal structure of AcNiAu.

Cell: 5.644 5.644 5.644 Å, 141.54 141.54 55.53°
Fractional coordinates of all 3 atoms:
Ac1 0.000 0.000 0.000
Ni1 0.683 0.683 0.000
Au1 0.305 0.305 0.000

Computed properties:
As for the total energy: -14.0 eV/f.u. As for the volume: 69.1 Å³/cell. As for the excess energy over the best structure of this formula in the dataset: 0.283 eV per atom. Its density of states at the Fermi level is 2.47 states/eV per cell. The magnetic moment comes out at 0.000 μB/f.u.

(10)
DFT (PBE) results for an optimized crystal structure of Ac8Ni2Au.

Cell: 7.865 7.865 7.550 Å, 90.58 90.58 71.20°
Fractional coordinates of all 11 atoms:
Ac1 0.117 0.117 0.351
Ac2 0.163 0.589 0.165
Ac3 0.356 0.356 0.669
Ac4 0.411 0.837 0.835
Ac5 0.589 0.163 0.165
Ac6 0.644 0.644 0.331
Ac7 0.837 0.411 0.835
Ac8 0.883 0.883 0.649
Ni1 0.130 0.130 0.733
Ni2 0.870 0.870 0.267
Au1 0.000 0.000 0.000

Computed properties:
As for the total energy: -48.1 eV/f.u. As for the volume: 442.0 Å³/cell. Its density of states at the Fermi level is 16.07 states/eV per cell. The magnetic moment comes out at 0.000 μB/f.u.

(11)
DFT (PBE) results for an optimized crystal structure of Ac4Ni2Au.

Cell: 8.399 8.399 8.399 Å, 109.99 109.26 109.17°
Fractional coordinates of all 14 atoms:
Ac1 0.061 0.102 0.041
Ac2 0.062 0.959 0.519
Ac3 0.438 0.958 0.898
Ac4 0.439 0.480 0.042
Ac5 0.560 0.541 0.602
Ac6 0.562 0.020 0.459
Ac7 0.938 0.398 0.458
Ac8 0.940 0.542 0.981
Ni1 0.001 0.251 0.750
Ni2 0.499 0.249 0.250
Ni3 0.501 0.250 0.751
Ni4 0.999 0.750 0.749
Au1 0.250 0.626 0.376
Au2 0.750 0.874 0.124

Computed properties:
As for the total energy: -33.5 eV/f.u. As for the volume: 456.1 Å³/cell. As for the excess energy over the best structure of this formula in the dataset: 0.058 eV per atom. Its density of states at the Fermi level is 15.72 states/eV per cell. The magnetic moment comes out at 0.000 μB/f.u.

(12)
DFT (PBE) results for an optimized crystal structure of Ac2Ni2Au.

Cell: 7.473 7.473 4.042 Å, 90.00 90.00 148.08°
Fractional coordinates of all 5 atoms:
Ac1 0.131 0.869 0.000
Ac2 0.869 0.131 0.000
Ni1 0.299 0.701 0.500
Ni2 0.701 0.299 0.500
Au1 0.500 0.500 0.500

Computed properties:
As for the total energy: -25.4 eV/f.u. As for the volume: 119.4 Å³/cell. Its density of states at the Fermi level is 4.50 states/eV per cell. The magnetic moment comes out at 0.000 μB/f.u.

(13)
DFT (PBE) results for an optimized crystal structure of Ac2NiAu.

Cell: 3.793 3.793 7.671 Å, 90.00 90.00 90.00°
Fractional coordinates of all 4 atoms:
Ac1 0.000 0.000 0.236
Ac2 0.000 0.000 0.764
Ni1 0.500 0.500 0.000
Au1 0.500 0.500 0.500

Computed properties:
As for the total energy: -19.0 eV/f.u. As for the volume: 110.3 Å³/cell. Its density of states at the Fermi level is 2.92 states/eV per cell. The magnetic moment comes out at 0.000 μB/f.u.

(14)
DFT (PBE) results for an optimized crystal structure of AcNi4Au8.

Cell: 7.027 7.027 7.027 Å, 98.34 98.34 135.23°
Fractional coordinates of all 13 atoms:
Ac1 0.000 0.000 0.000
Ni1 0.000 0.000 0.500
Ni2 0.000 0.500 0.000
Ni3 0.500 0.000 0.000
Ni4 0.500 0.500 0.500
Au1 0.000 0.340 0.340
Au2 0.000 0.660 0.660
Au3 0.277 0.500 0.777
Au4 0.340 0.000 0.340
Au5 0.500 0.277 0.777
Au6 0.500 0.723 0.223
Au7 0.660 0.000 0.660
Au8 0.723 0.500 0.223

Computed properties:
As for the total energy: -56.2 eV/f.u. As for the volume: 226.0 Å³/cell. Its density of states at the Fermi level is 10.12 states/eV per cell. The magnetic moment comes out at 0.001 μB/f.u.

(15)
DFT (PBE) results for an optimized crystal structure of Ac2NiAu.

Cell: 9.399 9.399 9.399 Å, 26.77 26.77 26.77°
Fractional coordinates of all 4 atoms:
Ac1 0.097 0.097 0.097
Ac2 0.903 0.903 0.903
Ni1 0.000 0.000 0.000
Au1 0.500 0.500 0.500

Computed properties:
As for the total energy: -16.5 eV/f.u. As for the volume: 148.6 Å³/cell. Its density of states at the Fermi level is 3.87 states/eV per cell. The magnetic moment comes out at 0.000 μB/f.u.

(16)
DFT (PBE) results for an optimized crystal structure of Ac4NiAu.

Cell: 6.790 7.670 8.434 Å, 90.00 108.20 90.00°
Fractional coordinates of all 12 atoms:
Ac1 0.007 0.002 0.232
Ac2 0.007 0.498 0.232
Ac3 0.444 0.250 0.624
Ac4 0.453 0.250 0.100
Ac5 0.547 0.750 0.900
Ac6 0.556 0.750 0.376
Ac7 0.993 0.502 0.768
Ac8 0.993 0.998 0.768
Ni1 0.205 0.750 0.052
Ni2 0.795 0.250 0.948
Au1 0.197 0.750 0.549
Au2 0.803 0.250 0.451

Computed properties:
As for the total energy: -27.6 eV/f.u. As for the volume: 417.2 Å³/cell. As for the excess energy over the best structure of this formula in the dataset: 0.000 eV per atom. Its density of states at the Fermi level is 12.48 states/eV per cell. The magnetic moment comes out at 0.000 μB/f.u.

(17)
DFT (PBE) results for an optimized crystal structure of AcNiAu.

Cell: 4.735 4.735 4.735 Å, 60.00 60.00 60.00°
Fractional coordinates of all 3 atoms:
Ac1 0.000 0.000 0.000
Ni1 0.250 0.250 0.250
Au1 0.500 0.500 0.500

Computed properties:
As for the total energy: -14.3 eV/f.u. As for the volume: 75.0 Å³/cell. As for the excess energy over the best structure of this formula in the dataset: 0.152 eV per atom. Its density of states at the Fermi level is 1.32 states/eV per cell. The magnetic moment comes out at 0.000 μB/f.u.

(18)
DFT (PBE) results for an optimized crystal structure of Ac8Ni4Au.

Cell: 9.995 9.995 13.704 Å, 130.25 130.25 23.94°
Fractional coordinates of all 13 atoms:
Ac1 0.000 0.000 0.000
Ac2 0.004 0.004 0.561
Ac3 0.075 0.075 0.348
Ac4 0.274 0.274 0.850
Ac5 0.345 0.345 0.637
Ac6 0.349 0.349 0.198
Ac7 0.626 0.626 0.907
Ac8 0.723 0.723 0.292
Ni1 0.360 0.360 0.432
Ni2 0.473 0.473 0.133
Ni3 0.877 0.877 0.066
Ni4 0.989 0.989 0.766
Au1 0.674 0.674 0.599

Computed properties:
As for the total energy: -62.6 eV/f.u. As for the volume: 417.2 Å³/cell. Its density of states at the Fermi level is 13.02 states/eV per cell. The magnetic moment comes out at 0.000 μB/f.u.

(19)
DFT (PBE) results for an optimized crystal structure of Ac2Ni3Au.

Cell: 8.645 8.588 6.024 Å, 70.05 69.04 40.92°
Fractional coordinates of all 12 atoms:
Ac1 0.247 0.753 0.753
Ac2 0.250 0.250 0.250
Ac3 0.750 0.750 0.750
Ac4 0.753 0.247 0.247
Ni1 0.158 0.684 0.316
Ni2 0.159 0.159 0.841
Ni3 0.316 0.842 0.158
Ni4 0.684 0.158 0.842
Ni5 0.841 0.841 0.159
Ni6 0.842 0.316 0.684
Au1 0.334 0.334 0.666
Au2 0.666 0.666 0.334

Computed properties:
As for the total energy: -31.2 eV/f.u. As for the volume: 271.7 Å³/cell. Its density of states at the Fermi level is 11.53 states/eV per cell. The magnetic moment comes out at 0.001 μB/f.u.

(20)
DFT (PBE) results for an optimized crystal structure of AcNiAu.

Cell: 4.476 4.476 4.187 Å, 90.00 90.00 120.00°
Fractional coordinates of all 3 atoms:
Ac1 0.000 0.000 0.000
Ni1 0.333 0.667 0.500
Au1 0.667 0.333 0.500

Computed properties:
As for the total energy: -14.8 eV/f.u. As for the volume: 72.6 Å³/cell. As for the excess energy over the best structure of this formula in the dataset: 0.009 eV per atom. Its density of states at the Fermi level is 2.13 states/eV per cell. The magnetic moment comes out at 0.000 μB/f.u.

(21)
DFT (PBE) results for an optimized crystal structure of Ac7NiAu4.

Cell: 7.538 7.538 14.322 Å, 108.11 108.11 33.14°
Fractional coordinates of all 12 atoms:
Ac1 0.000 0.000 0.000
Ac2 0.149 0.149 0.544
Ac3 0.240 0.240 0.842
Ac4 0.454 0.454 0.682
Ac5 0.520 0.520 0.260
Ac6 0.773 0.773 0.110
Ac7 0.811 0.811 0.400
Ni1 0.384 0.384 0.050
Au1 0.178 0.178 0.235
Au2 0.479 0.479 0.468
Au3 0.604 0.604 0.900
Au4 0.792 0.792 0.690

Computed properties:
As for the total energy: -54.1 eV/f.u. As for the volume: 420.8 Å³/cell. Its density of states at the Fermi level is 13.02 states/eV per cell. The magnetic moment comes out at 0.000 μB/f.u.

(22)
DFT (PBE) results for an optimized crystal structure of Ac2NiAu.

Cell: 6.271 4.651 8.353 Å, 90.00 110.30 90.00°
Fractional coordinates of all 8 atoms:
Ac1 0.223 0.250 0.440
Ac2 0.231 0.250 0.923
Ac3 0.769 0.750 0.077
Ac4 0.777 0.750 0.560
Ni1 0.322 0.750 0.708
Ni2 0.678 0.250 0.292
Au1 0.337 0.750 0.210
Au2 0.663 0.250 0.790

Computed properties:
As for the total energy: -19.3 eV/f.u. As for the volume: 228.5 Å³/cell. Its density of states at the Fermi level is 6.83 states/eV per cell. The magnetic moment comes out at 0.000 μB/f.u.

(23)
DFT (PBE) results for an optimized crystal structure of Ac4NiAu.

Cell: 9.201 9.201 7.384 Å, 108.79 108.79 117.12°
Fractional coordinates of all 12 atoms:
Ac1 0.043 0.629 0.834
Ac2 0.209 0.293 0.735
Ac3 0.293 0.209 0.235
Ac4 0.371 0.957 0.666
Ac5 0.629 0.043 0.334
Ac6 0.707 0.791 0.765
Ac7 0.791 0.707 0.265
Ac8 0.957 0.371 0.166
Ni1 0.074 0.926 0.750
Ni2 0.926 0.074 0.250
Au1 0.381 0.619 0.250
Au2 0.619 0.381 0.750

Computed properties:
As for the total energy: -27.3 eV/f.u. As for the volume: 437.5 Å³/cell. As for the excess energy over the best structure of this formula in the dataset: 0.046 eV per atom. Its density of states at the Fermi level is 14.59 states/eV per cell. The magnetic moment comes out at 0.000 μB/f.u.